1.
Material: Li2Ca3Cd5
Method: DFT, PBE
State: relaxed

Summary:
- E_form: -290 meV/atom

CIF file:
```
data_Li2Ca3Cd5
_cell_length_a 10.954
_cell_length_b 10.954
_cell_length_c 4.105
_cell_angle_alpha 90.00
_cell_angle_beta 90.00
_cell_angle_gamma 90.00
_space_group_name_H-M_alt 'P 4/m b m'
_space_group_IT_number 127
_space_group_name_Hall '-P 4 2ab'
loop_
_atom_site_label
_atom_site_fract_x
_atom_site_fract_y
_atom_site_fract_z
_atom_site_occupancy
Li1 0.115 0.385 0.000 1
Ca1 0.000 0.000 0.000 1
Ca2 0.181 0.681 0.000 1
Cd1 0.000 0.500 0.500 1
Cd2 0.060 0.218 0.500 1
```

2.
Material: BeCdSe
Method: DFT, PBE
State: relaxed

Summary:
- Formation energy from raw total energies: 0.01 eV/atom
- Offset from the most stable computed form: 0.235 eV/atom

CIF file:
```
data_BeCdSe
_cell_length_a 3.315
_cell_length_b 3.315
_cell_length_c 11.720
_cell_angle_alpha 90.00
_cell_angle_beta 90.00
_cell_angle_gamma 90.00
_space_group_name_H-M_alt 'I 4 m m'
_space_group_IT_number 107
_space_group_name_Hall 'I 4 -2'
loop_
_atom_site_label
_atom_site_fract_x
_atom_site_fract_y
_atom_site_fract_z
_atom_site_occupancy
Be1 0.000 0.000 0.000 1
Cd1 0.000 0.000 0.785 1
Se1 0.000 0.000 0.543 1
```

3.
Material: SiHgOs2
Method: DFT, PBE
State: relaxed

Summary:
- Formation energy from raw total energies: 0.29 eV/atom
- Offset from the most stable computed form: 0.035 eV/atom

CIF file:
```
data_SiHgOs2
_cell_length_a 2.962
_cell_length_b 2.962
_cell_length_c 7.003
_cell_angle_alpha 90.00
_cell_angle_beta 90.00
_cell_angle_gamma 90.00
_space_group_name_H-M_alt 'P 4/m m m'
_space_group_IT_number 123
_space_group_name_Hall '-P 4 2'
loop_
_atom_site_label
_atom_site_fract_x
_atom_site_fract_y
_atom_site_fract_z
_atom_site_occupancy
Si1 0.000 0.000 0.000 1
Hg1 0.000 0.000 0.500 1
Os1 0.500 0.500 0.194 1
```

4.
Material: HoPa2Rh3
Method: DFT, PBE
State: relaxed

Summary:
- E_form: -836 meV/atom

CIF file:
```
data_HoPa2Rh3
_cell_length_a 5.617
_cell_length_b 5.870
_cell_length_c 8.479
_cell_angle_alpha 72.85
_cell_angle_beta 75.05
_cell_angle_gamma 77.05
_space_group_name_H-M_alt 'P -1'
_space_group_IT_number 2
loop_
_space_group_symop_operation_xyz
'x,y,z'
'-x,-y,-z'
loop_
_atom_site_label
_atom_site_fract_x
_atom_site_fract_y
_atom_site_fract_z
_atom_site_occupancy
Ho1 0.047 0.210 0.299 1
Pa1 0.286 0.766 0.040 1
Pa2 0.376 0.230 0.626 1
Rh1 0.150 0.678 0.375 1
Rh2 0.209 0.299 0.938 1
Rh3 0.463 0.711 0.719 1
```

5.
Material: TiSbW2
Method: DFT, PBE
State: relaxed

Summary:
- Formation energy from raw total energies: 0.64 eV/atom

CIF file:
```
data_TiSbW2
_cell_length_a 3.884
_cell_length_b 3.884
_cell_length_c 19.952
_cell_angle_alpha 90.00
_cell_angle_beta 90.00
_cell_angle_gamma 90.00
_space_group_name_H-M_alt 'I -4 2 d'
_space_group_IT_number 122
_space_group_name_Hall 'I -4 2bw'
loop_
_atom_site_label
_atom_site_fract_x
_atom_site_fract_y
_atom_site_fract_z
_atom_site_occupancy
Ti1 0.000 0.000 0.000 1
Sb1 0.000 0.000 0.500 1
W1 0.239 0.250 0.125 1
```

6.
Material: Ba3H2O
Method: DFT, PBE
State: relaxed

Summary:
- Final energy: -3.861 eV per atom

CIF file:
```
data_Ba3H2O
_cell_length_a 7.059
_cell_length_b 12.163
_cell_length_c 7.093
_cell_angle_alpha 90.00
_cell_angle_beta 109.88
_cell_angle_gamma 90.00
_space_group_name_H-M_alt 'C 1 2/m 1'
_space_group_IT_number 12
loop_
_space_group_symop_operation_xyz
'x,y,z'
'-x,-y,-z'
'-x,y,-z'
'x,-y,z'
'x+1/2,y+1/2,z'
'-x+1/2,-y+1/2,-z'
'-x+1/2,y+1/2,-z'
'x+1/2,-y+1/2,z'
loop_
_atom_site_label
_atom_site_fract_x
_atom_site_fract_y
_atom_site_fract_z
_atom_site_occupancy
Ba1 0.230 0.000 0.241 1
Ba2 0.248 0.175 0.769 1
H1 0.000 0.000 0.500 1
H2 0.000 0.335 0.500 1
H3 0.000 0.500 0.000 1
O1 0.000 0.165 0.000 1
```